Entry 1:
! NaSmGe PBE-GGA optimized geometry; values from VASP
&SYSTEM
  ibrav = 0, nat = 6, ntyp = 3
/
ATOMIC_SPECIES
Na 22.99 Na.upf
Sm 150.36 Sm.upf
Ge 72.64 Ge.upf
ATOMIC_POSITIONS angstrom
Na 0.0000 0.0000 3.2566
Na 0.0000 0.0000 21.2175
Sm 0.0000 0.0000 9.3488
Sm 0.0000 0.0000 15.1253
Ge 0.0000 0.0000 6.3412
Ge 0.0000 0.0000 18.1329
CELL_PARAMETERS angstrom
2.5308 1.4612 8.1580
-2.5308 1.4612 8.1580
0.0000 -2.9223 8.1580
! Symmetry   R-3m
! Formation energy   -0.340 eV/atom
! DOS(E_F)   0.07 states/eV/f.u.
! Uncorrected energy   -3.89 eV per atom
! Total magnetic moment   0.00 μB per cell

---

Entry 2:
! MnBiSb2Au PBE-GGA optimized geometry; values from VASP
&SYSTEM
  ibrav = 0, nat = 5, ntyp = 4
/
ATOMIC_SPECIES
Mn 54.94 Mn.upf
Bi 208.98 Bi.upf
Sb 121.76 Sb.upf
Au 196.97 Au.upf
ATOMIC_POSITIONS angstrom
Mn 0.0000 0.0000 0.0000
Bi 0.0000 0.0000 2.6560
Sb 0.0000 2.4581 0.0000
Sb 2.4581 0.0000 0.0000
Au 2.4581 2.4581 2.6560
CELL_PARAMETERS angstrom
4.9162 0.0000 0.0000
0.0000 4.9162 0.0000
0.0000 0.0000 5.3120
! Symmetry   P4/mmm
! DOS(E_F)   4.41 states/eV/f.u.
! Formation energy without anion corrections   0.4069 eV/atom
! Uncorrected energy   -4.51 eV per atom
! Total magnetic moment   1.88 μB per cell

---

Entry 3:
! Na3Tl3Hg5 PBE-GGA optimized geometry; values from VASP
&SYSTEM
  ibrav = 0, nat = 11, ntyp = 3
/
ATOMIC_SPECIES
Na 22.99 Na.upf
Tl 204.38 Tl.upf
Hg 200.59 Hg.upf
ATOMIC_POSITIONS angstrom
Na -2.2710 3.9335 0.0000
Na 4.5420 0.0000 0.0000
Na 3.0680 5.3140 0.0000
Tl -0.9170 1.5884 1.6846
Tl 1.8341 0.0000 1.6846
Tl 4.4220 7.6591 1.6846
Hg -3.5403 6.1319 1.6846
Hg 0.0000 6.1650 1.6846
Hg 1.7988 3.1155 1.6846
Hg 7.0805 0.0000 1.6846
Hg 5.3390 3.0825 1.6846
CELL_PARAMETERS angstrom
10.6781 0.0000 0.0000
-5.3390 9.2475 0.0000
0.0000 0.0000 3.3693
! Symmetry   P-62m
! Formation energy   -0.068 eV/atom
! DOS(E_F)   3.07 states/eV/f.u.
! Uncorrected energy   -1.21 eV per atom
! Total magnetic moment   0.00 μB per cell